DFT (PBE) results for NaNd2Sn3Pt4 after structural relaxation.

Calculated values
- VASP energy (eV per cell) = -54.4
- magnetization (Bohr magnetons per cell) = 0.00
- ρ (g cm⁻³) = 10.62

Cell lengths 4.5184, 4.5184, 11.0935 Å; angles 90.00, 90.00, 90.00 degrees
Space group P-4m2 (No. 115)
Symmetry-distinct sites (fractional):
Na: 0.0000 0.0000 0.0000 (multiplicity 1)
Nd: 0.0000 0.5000 0.7371 (multiplicity 2)
Sn: 0.0000 0.5000 0.3717 (multiplicity 2)
Sn: 0.5000 0.5000 0.0000 (multiplicity 1)
Pt: 0.0000 0.0000 0.5000 (multiplicity 1)
Pt: 0.0000 0.5000 0.1394 (multiplicity 2)
Pt: 0.5000 0.5000 0.5000 (multiplicity 1)

DFT (PBE) results for NaSrNdPt after structural relaxation.

Calculated values
- VASP energy (eV per cell) = -30.9
- magnetization (Bohr magnetons per cell) = 0.00
- ρ (g cm⁻³) = 5.00

Cell lengths 4.8274, 4.8274, 12.8267 Å; angles 90.00, 90.00, 90.00 degrees
Space group P4/nmm (No. 129, origin choice 2)
Symmetry-distinct sites (fractional):
Na: 0.2500 0.7500 0.0000 (multiplicity 2)
Sr: 0.2500 0.2500 0.2580 (multiplicity 2)
Nd: 0.2500 0.7500 0.5000 (multiplicity 2)
Pt: 0.2500 0.2500 0.6292 (multiplicity 2)

DFT (PBE) results for NaNdZnPt after structural relaxation.

Calculated values
- VASP energy (eV per cell) = -59.9
- magnetization (Bohr magnetons per cell) = 0.00
- ρ (g cm⁻³) = 8.06

Cell lengths 7.0635, 7.0635, 7.0635 Å; angles 90.00, 90.00, 90.00 degrees
Space group F-43m (No. 216)
Symmetry-distinct sites (fractional):
Na: 0.0000 0.0000 0.0000 (multiplicity 4)
Nd: 0.0000 0.0000 0.5000 (multiplicity 4)
Zn: 0.2500 0.2500 0.2500 (multiplicity 4)
Pt: 0.2500 0.2500 0.7500 (multiplicity 4)

DFT (PBE) results for Na3Nd3PuS8 after structural relaxation.

Calculated values
- VASP energy (eV per cell) = -273.2
- magnetization (Bohr magnetons per cell) = 12.00
- ρ (g cm⁻³) = 4.23
- E_form (uncorrected) (eV/atom) = -1.697

Cell lengths 8.2324, 8.2324, 20.0995 Å; angles 90.00, 90.00, 120.00 degrees
Space group R-3m (No. 166, hexagonal axes)
Symmetry-distinct sites (fractional):
Na: 0.0000 0.5000 0.0000 (multiplicity 9)
Nd: 0.0000 0.5000 0.5000 (multiplicity 9)
Pu: 0.0000 0.0000 0.5000 (multiplicity 3)
S: 0.0000 0.0000 0.2445 (multiplicity 6)
S: 0.0161 0.5081 0.2405 (multiplicity 18)